<i>
VASP calculation (PBE) on Dy12Er7Mg after structural relaxation.

abc: 8.6218 8.6218 8.6218
angles: 86.78 86.78 86.78
With the nearest neighbours (Å) after each atom.
Fractional positions:
Dy1 0.0030 0.8833 0.3627  4 Dy 3.19-3.40, 2 Er 3.23-3.45
Dy2 0.1167 0.6373 0.9970  4 Dy 3.19-3.40, 2 Er 3.23-3.45
Dy3 0.2374 0.3554 0.7500  5 Dy 3.23-3.58, 1 Mg 3.29, 2 Er 3.52-3.54
Dy4 0.2500 0.7626 0.6446  5 Dy 3.23-3.58, 1 Mg 3.29, 2 Er 3.52-3.54
Dy5 0.3554 0.7500 0.2374  5 Dy 3.23-3.58, 1 Mg 3.29, 2 Er 3.52-3.54
Dy6 0.3627 0.0030 0.8833  4 Dy 3.19-3.40, 2 Er 3.23-3.45
Dy7 0.6373 0.9970 0.1167  4 Dy 3.19-3.40, 2 Er 3.23-3.45
Dy8 0.6446 0.2500 0.7626  5 Dy 3.23-3.58, 1 Mg 3.29, 2 Er 3.52-3.54
Dy9 0.7500 0.2374 0.3554  5 Dy 3.23-3.58, 1 Mg 3.29, 2 Er 3.52-3.54
Dy10 0.7626 0.6446 0.2500  5 Dy 3.23-3.58, 1 Mg 3.29, 2 Er 3.52-3.54
Dy11 0.8833 0.3627 0.0030  4 Dy 3.19-3.40, 2 Er 3.23-3.45
Dy12 0.9970 0.1167 0.6373  4 Dy 3.19-3.40, 2 Er 3.23-3.45
Er1 0.0000 0.0000 0.0000  6 Dy 3.23
Er2 0.1041 0.4278 0.3497  3 Er 3.33-3.47, 7 Dy 3.45-3.72
Er3 0.3497 0.1041 0.4278  3 Er 3.33-3.47, 7 Dy 3.45-3.72
Er4 0.4278 0.3497 0.1041  3 Er 3.33-3.47, 7 Dy 3.45-3.72
Er5 0.5722 0.6503 0.8959  3 Er 3.33-3.47, 7 Dy 3.45-3.72
Er6 0.6503 0.8959 0.5722  3 Er 3.33-3.47, 7 Dy 3.45-3.72
Er7 0.8959 0.5722 0.6503  3 Er 3.33-3.47, 7 Dy 3.45-3.72
Mg1 0.5000 0.5000 0.5000  6 Dy 3.29

Computed properties:
Density of states at the Fermi level = 30.10 states/eV per cell
Crystal system = trigonal
Volume = 31.90 Å³/atom


<ii>
VASP calculation (PBE) on Dy12Er7Mg after structural relaxation.

abc: 10.3214 10.3214 10.3214
angles: 109.47 109.47 109.47
With the nearest neighbours (Å) after each atom.
Fractional positions:
Dy1 0.0954 0.3561 0.7393  4 Er 3.24-3.55, 5 Dy 3.43-3.61
Dy2 0.2607 0.6168 0.3561  4 Er 3.24-3.55, 5 Dy 3.43-3.61
Dy3 0.2607 0.9046 0.6439  4 Er 3.24-3.55, 5 Dy 3.43-3.61
Dy4 0.3561 0.2607 0.6168  4 Er 3.24-3.55, 5 Dy 3.43-3.61
Dy5 0.3561 0.7393 0.0954  4 Er 3.24-3.55, 5 Dy 3.43-3.61
Dy6 0.3832 0.6439 0.7393  4 Er 3.24-3.55, 5 Dy 3.43-3.61
Dy7 0.6168 0.3561 0.2607  4 Er 3.24-3.55, 5 Dy 3.43-3.61
Dy8 0.6439 0.2607 0.9046  4 Er 3.24-3.55, 5 Dy 3.43-3.61
Dy9 0.6439 0.7393 0.3832  4 Er 3.24-3.55, 5 Dy 3.43-3.61
Dy10 0.7393 0.0954 0.3561  4 Er 3.24-3.55, 5 Dy 3.43-3.61
Dy11 0.7393 0.3832 0.6439  4 Er 3.24-3.55, 5 Dy 3.43-3.61
Dy12 0.9046 0.6439 0.2607  4 Er 3.24-3.55, 5 Dy 3.43-3.61
Er1 0.0000 0.0000 0.5000  6 Dy 3.24
Er2 0.0000 0.5000 0.0000  6 Dy 3.24
Er3 0.0000 0.5000 0.5000  8 Dy 3.33-3.55
Er4 0.5000 0.0000 0.0000  6 Dy 3.24
Er5 0.5000 0.0000 0.5000  8 Dy 3.33-3.55
Er6 0.5000 0.5000 0.0000  8 Dy 3.33-3.55
Er7 0.5000 0.5000 0.5000  6 Dy 3.24
Mg1 0.0000 0.0000 0.0000  8 Er 5.16, 12 Dy 5.26

Computed properties:
Density of states at the Fermi level = 32.57 states/eV per cell
Crystal system = cubic
Volume = 42.32 Å³/atom


Here is how they stack up, most stable first: <i>, <ii>.


<i>
VASP calculation (PBE) on Dy8Er6Mg after structural relaxation.

abc: 8.4901 8.4901 8.4901
angles: 63.50 63.50 63.50
With the nearest neighbours (Å) after each atom.
Fractional positions:
Dy1 0.0760 0.0760 0.0760  4 Dy 3.08-3.39, 3 Er 3.30
Dy2 0.2168 0.2453 0.6079  5 Dy 3.35-3.39, 3 Er 3.37-3.71, 1 Mg 3.49
Dy3 0.2453 0.6079 0.2168  5 Dy 3.35-3.39, 3 Er 3.37-3.71, 1 Mg 3.49
Dy4 0.3921 0.7832 0.7547  5 Dy 3.35-3.39, 3 Er 3.37-3.71, 1 Mg 3.49
Dy5 0.6079 0.2168 0.2453  5 Dy 3.35-3.39, 3 Er 3.37-3.71, 1 Mg 3.49
Dy6 0.7547 0.3921 0.7832  5 Dy 3.35-3.39, 3 Er 3.37-3.71, 1 Mg 3.49
Dy7 0.7832 0.7547 0.3921  5 Dy 3.35-3.39, 3 Er 3.37-3.71, 1 Mg 3.49
Dy8 0.9240 0.9240 0.9240  4 Dy 3.08-3.39, 3 Er 3.30
Er1 0.0471 0.7305 0.6077  3 Dy 3.30-3.39, 1 Mg 3.35, 4 Er 3.51-3.60
Er2 0.2695 0.3923 0.9529  3 Dy 3.30-3.39, 1 Mg 3.35, 4 Er 3.51-3.60
Er3 0.3923 0.9529 0.2695  3 Dy 3.30-3.39, 1 Mg 3.35, 4 Er 3.51-3.60
Er4 0.6077 0.0471 0.7305  3 Dy 3.30-3.39, 1 Mg 3.35, 4 Er 3.51-3.60
Er5 0.7305 0.6077 0.0471  3 Dy 3.30-3.39, 1 Mg 3.35, 4 Er 3.51-3.60
Er6 0.9529 0.2695 0.3923  3 Dy 3.30-3.39, 1 Mg 3.35, 4 Er 3.51-3.60
Mg1 0.5000 0.5000 0.5000  6 Er 3.35, 6 Dy 3.49

Computed properties:
Density of states at the Fermi level = 21.26 states/eV per cell
Crystal system = trigonal
Volume = 31.08 Å³/atom


<ii>
VASP calculation (PBE) on Dy8Er6Mg after structural relaxation.

abc: 9.3342 9.3342 6.2058
angles: 90.00 90.00 120.00
With the nearest neighbours (Å) after each atom.
Fractional positions:
Dy1 0.0389 0.7695 0.1865  1 Mg 3.05, 3 Dy 3.30-3.33, 1 Er 3.33
Dy2 0.2305 0.2694 0.1865  1 Mg 3.05, 3 Dy 3.30-3.33, 1 Er 3.33
Dy3 0.2694 0.0389 0.8135  1 Mg 3.05, 3 Dy 3.30-3.33, 1 Er 3.33
Dy4 0.3333 0.6667 0.1852  3 Dy 3.33, 3 Er 3.64
Dy5 0.6667 0.3333 0.8148  3 Dy 3.33, 3 Er 3.64
Dy6 0.7306 0.9611 0.1865  1 Mg 3.05, 3 Dy 3.30-3.33, 1 Er 3.33
Dy7 0.7695 0.7306 0.8135  1 Mg 3.05, 3 Dy 3.30-3.33, 1 Er 3.33
Dy8 0.9611 0.2305 0.8135  1 Mg 3.05, 3 Dy 3.30-3.33, 1 Er 3.33
Er1 0.0929 0.6397 0.6848  1 Er 3.25, 5 Dy 3.33-3.61
Er2 0.3603 0.4532 0.6848  1 Er 3.25, 5 Dy 3.33-3.61
Er3 0.4532 0.0929 0.3152  1 Er 3.25, 5 Dy 3.33-3.61
Er4 0.5468 0.9071 0.6848  1 Er 3.25, 5 Dy 3.33-3.61
Er5 0.6397 0.5468 0.3152  1 Er 3.25, 5 Dy 3.33-3.61
Er6 0.9071 0.3603 0.3152  1 Er 3.25, 5 Dy 3.33-3.61
Mg1 0.0000 0.0000 0.5000  6 Dy 3.05

Computed properties:
Density of states at the Fermi level = 20.60 states/eV per cell
Crystal system = trigonal
Volume = 31.22 Å³/atom


Here is how they stack up, most stable first: <i>, <ii>.


<i>
VASP calculation (PBE) on Dy6ErMg after structural relaxation.

abc: 6.0446 6.0446 9.8991
angles: 114.14 114.14 48.73
With the nearest neighbours (Å) after each atom.
Fractional positions:
Dy1 0.0014 0.0014 0.2503  8 Dy 3.48-3.53, 2 Mg 3.51, 2 Er 3.52
Dy2 0.2498 0.2498 0.6269  1 Mg 3.48, 8 Dy 3.49-3.54, 3 Er 3.50
Dy3 0.2543 0.2543 0.1241  3 Mg 3.44-3.53, 8 Dy 3.47-3.53, 1 Er 3.48
Dy4 0.7457 0.7457 0.8759  3 Mg 3.44-3.53, 8 Dy 3.47-3.53, 1 Er 3.48
Dy5 0.7502 0.7502 0.3731  1 Mg 3.48, 8 Dy 3.49-3.54, 3 Er 3.50
Dy6 0.9986 0.9986 0.7497  8 Dy 3.48-3.53, 2 Mg 3.51, 2 Er 3.52
Er1 0.5000 0.5000 0.5000  12 Dy 3.48-3.52
Mg1 0.5000 0.5000 0.0000  12 Dy 3.44-3.53

Computed properties:
Density of states at the Fermi level = 12.37 states/eV per cell
Crystal system = monoclinic
Volume = 30.36 Å³/atom


<ii>
VASP calculation (PBE) on Dy6ErMg after structural relaxation.

abc: 6.3201 6.3204 6.3253
angles: 95.74 95.66 95.76
With the nearest neighbours (Å) after each atom.
Fractional positions:
Dy1 0.0126 0.2459 0.4552  4 Dy 3.21-3.39, 1 Er 3.43, 2 Mg 3.50-3.59
Dy2 0.2541 0.0445 0.9881  4 Dy 3.21-3.39, 1 Er 3.43, 2 Mg 3.50-3.59
Dy3 0.4553 0.5126 0.7461  4 Dy 3.21-3.39, 1 Er 3.43, 2 Mg 3.50-3.59
Dy4 0.5447 0.4874 0.2539  4 Dy 3.21-3.39, 1 Er 3.43, 2 Mg 3.50-3.59
Dy5 0.7459 0.9555 0.0119  4 Dy 3.21-3.39, 1 Er 3.43, 2 Mg 3.50-3.59
Dy6 0.9874 0.7541 0.5448  4 Dy 3.21-3.39, 1 Er 3.43, 2 Mg 3.50-3.59
Er1 0.0000 0.5000 0.0000  12 Dy 3.43-3.67
Mg1 0.5000 0.0000 0.5000  12 Dy 3.50-3.59

Computed properties:
Density of states at the Fermi level = 12.26 states/eV per cell
Crystal system = triclinic
Volume = 31.08 Å³/atom


Here is how they stack up, most stable first: <i>, <ii>.